## Zr3CoCN (PBE)

Data for a relaxed Zr3CoCN crystal.

Output
- mass density (g/cm3) = 6.96
- total magnetization (μB/f.u.) = 0.684
- final energy (eV per atom) = -9.18

Cell and atoms, written as extended XYZ:
```
12
Lattice="3.281 0.000 0.000 -1.640 2.841 0.000 0.000 0.000 18.364" Properties=species:S:1:pos:R:3 pbc="T T T"
Zr 0.000 0.000 0.000
Zr 0.000 0.000 9.182
Zr 0.000 1.894 2.681
Zr 0.000 1.894 6.494
Zr 1.640 0.947 11.870
Zr 1.640 0.947 15.683
Co 0.000 0.000 4.525
Co 0.000 0.000 13.840
C 0.000 1.894 10.592
C 1.640 0.947 7.772
N 0.000 1.894 17.038
N 1.640 0.947 1.326
```